Record 1
39
Lattice="2.566 -6.756 0.000 2.566 6.756 0.000 -2.234 0.000 18.688" Properties=species:S:1:pos:R:3 comment="PBE Pr3Al28Cu8, optimized geometry" vol_a3_per_atom=16.614 dos_at_fermi_per_ev_atom=0.369 formation_energy_ev_per_atom=-0.2160 space_group="C2/m (12)" pbc="T T T"
Pr 0.000 0.000 0.000
Pr 0.159 0.000 12.452
Pr 2.739 0.000 6.236
Al -1.117 0.000 9.344
Al 0.182 1.539 4.832
Al 0.160 1.594 7.559
Al 0.164 2.442 10.312
Al 0.337 4.321 16.546
Al -1.033 0.000 15.583
Al 0.163 2.427 14.623
Al 2.560 4.321 2.142
Al 0.182 -1.539 4.832
Al 0.160 -1.594 7.559
Al 0.350 1.540 17.323
Al 2.547 1.540 1.365
Al 2.734 2.427 4.065
Al 0.164 -2.442 10.312
Al 1.449 0.000 9.344
Al 2.734 2.442 8.376
Al 0.163 -2.427 14.623
Al 0.350 -1.540 17.323
Al 2.547 -1.540 1.365
Al 2.737 1.594 11.128
Al 2.715 1.539 13.855
Al 0.337 -4.321 16.546
Al 2.734 -2.427 4.065
Al 3.930 0.000 3.105
Al 2.560 -4.321 2.142
Al 2.734 -2.442 8.376
Al 2.737 -1.594 11.128
Al 2.715 -1.539 13.855
Cu 1.283 3.378 0.000
Cu 1.455 3.352 6.196
Cu 1.442 3.352 12.492
Cu 1.374 0.000 3.114
Cu 1.283 -3.378 0.000
Cu 1.524 0.000 15.574
Cu 1.455 -3.352 6.196
Cu 1.442 -3.352 12.492


Record 2
10
Lattice="4.189 -5.730 0.000 4.189 5.730 0.000 0.000 0.000 7.181" Properties=species:S:1:pos:R:3 comment="PBE TbNdDyEr2, optimized geometry" vol_a3_per_atom=34.470 dos_at_fermi_per_ev_atom=1.422 formation_energy_ev_per_atom=0.3808 space_group="Cmcm (63)" pbc="T T T"
Tb 4.189 5.705 5.386
Tb 4.189 -5.705 1.795
Nd 4.189 2.599 5.386
Nd 4.189 -2.599 1.795
Dy 4.189 2.559 1.795
Dy 4.189 -2.559 5.386
Er 2.607 0.000 0.000
Er 2.607 0.000 3.591
Er 5.771 0.000 0.000
Er 5.771 0.000 3.591


Record 3
7
Lattice="7.918 -2.301 0.000 7.918 2.301 0.000 -1.440 0.000 6.536" Properties=species:S:1:pos:R:3 comment="PBE Ac4IrAu2, optimized geometry" vol_a3_per_atom=34.019 dos_at_fermi_per_ev_atom=0.642 formation_energy_ev_per_atom=-0.6680 space_group="C2/m (12)" pbc="T T T"
Ac 0.907 0.000 1.765
Ac 5.211 0.000 1.184
Ac 9.185 0.000 5.352
Ac 13.489 0.000 4.771
Ir 7.918 0.000 0.000
Au 3.249 0.000 4.311
Au 11.147 0.000 2.225


Record 4
5
Lattice="6.066 0.000 0.000 0.000 6.066 0.000 0.000 0.000 6.387" Properties=species:S:1:pos:R:3 comment="PBE LaSbTe2Cl, optimized geometry" vol_a3_per_atom=47.008 dos_at_fermi_per_ev_atom=1.250 raw_formation_energy_mev_per_atom=87.3 space_group="P4/mmm (123)" pbc="T T T"
La 0.000 0.000 0.000
Sb 0.000 0.000 3.193
Te 0.000 3.033 0.000
Te 3.033 0.000 0.000
Cl 3.033 3.033 3.193


Record 5
14
Lattice="-5.122 5.122 5.103 5.122 -5.122 5.103 5.122 5.122 -5.103" Properties=species:S:1:pos:R:3 comment="PBE Ac8PmSn5, optimized geometry" vol_a3_per_atom=38.246 dos_at_fermi_per_ev_atom=1.230 formation_energy_ev_per_atom=-0.4523 space_group="I-4 (82)" pbc="T T T"
Ac 4.373 3.424 -2.023
Ac 7.026 0.786 0.638
Ac 0.786 3.218 -0.638
Ac 0.748 1.698 3.080
Ac 4.336 1.904 4.466
Ac 1.698 -0.748 7.126
Ac 3.424 5.870 2.023
Ac -1.904 4.336 5.741
Pm 0.000 5.122 2.552
Sn 0.000 0.000 0.000
Sn 2.580 -1.334 3.898
Sn 3.788 2.542 1.205
Sn 2.542 6.456 -1.205
Sn 1.334 2.580 6.308


Record 6
4
Lattice="1.560 0.901 10.746 -1.560 0.901 10.746 0.000 -1.802 10.746" Properties=species:S:1:pos:R:3 comment="PBE Na2ZnAu, optimized geometry" vol_a3_per_atom=22.653 dos_at_fermi_per_ev_atom=0.346 formation_energy_ev_per_atom=0.0787 space_group="R-3m (166)" pbc="T T T"
Na 0.000 0.000 2.972
Na 0.000 0.000 29.265
Zn 0.000 0.000 0.000
Au 0.000 0.000 16.118


Record 7
20
Lattice="6.795 -6.124 0.000 6.795 6.124 0.000 -2.688 0.000 6.270" Properties=species:S:1:pos:R:3 comment="PBE CdHCl3, optimized geometry" vol_a3_per_atom=26.090 dos_at_fermi_per_ev_atom=0.000 dft_energy_ev_per_atom=-2.7985 space_group="C2/c (15)" pbc="T T T"
Cd 4.779 4.965 4.703
Cd 6.123 3.250 1.568
Cd 4.779 -3.250 4.703
Cd 6.123 -4.965 1.568
H 3.811 1.083 0.118
H 2.467 -1.083 3.253
H 8.435 1.083 3.017
H 7.091 -1.083 6.152
Cl 1.581 0.871 0.064
Cl 4.062 3.153 2.980
Cl 0.237 -0.871 3.199
Cl 2.410 1.143 6.140
Cl 8.184 3.153 0.155
Cl 3.754 -1.143 3.005
Cl 7.148 1.143 3.265
Cl 2.718 -3.153 6.115
Cl 8.492 -1.143 0.130
Cl 10.665 0.871 3.071
Cl 6.840 -3.153 3.290
Cl 9.321 -0.871 6.206


Record 8
12
Lattice="-5.488 6.019 3.444 5.488 -6.019 3.444 5.488 6.019 -3.444" Properties=species:S:1:pos:R:3 comment="PBE Pm3Tm2Th, optimized geometry" vol_a3_per_atom=37.914 dos_at_fermi_per_ev_atom=1.758 formation_energy_ev_per_atom=0.6080 space_group="Ibam (72)" pbc="T T T"
Pm 5.488 -2.795 1.722
Pm 0.000 0.000 1.722
Pm 5.488 2.795 1.722
Pm 0.000 3.224 1.722
Pm 0.000 0.000 5.165
Pm 0.000 8.814 1.722
Tm 2.669 2.316 0.000
Tm 2.669 -2.316 3.444
Tm 2.819 8.335 0.000
Tm 2.819 3.704 3.444
Th 5.488 0.000 0.000
Th 0.000 6.019 0.000


Record 9
4
Lattice="2.095 1.210 4.526 -2.095 1.210 4.526 0.000 -2.420 4.526" Properties=species:S:1:pos:R:3 comment="PBE MgZnGeIr, optimized geometry" vol_a3_per_atom=17.212 dos_at_fermi_per_ev_atom=0.400 formation_energy_ev_per_atom=-0.0588 space_group="R3m (160)" pbc="T T T"
Mg 0.000 0.000 0.000
Zn 0.000 0.000 5.628
Ge 0.000 0.000 11.064
Ir 0.000 0.000 2.816


Record 10
20
Lattice="-4.001 4.001 4.001 4.001 -4.001 4.001 4.001 4.001 -4.001" Properties=species:S:1:pos:R:3 comment="PBE KSc4Sn3O12, optimized geometry" vol_a3_per_atom=12.810 dos_at_fermi_per_ev_atom=0.270 raw_formation_energy_mev_per_atom=-2407.3 space_group="Im-3 (204)" pbc="T T T"
K 0.000 0.000 0.000
Sc 2.001 2.001 -2.001
Sc 2.001 -2.001 2.001
Sc -2.001 2.001 2.001
Sc 2.001 2.001 2.001
Sn 4.001 0.000 0.000
Sn 0.000 4.001 0.000
Sn 0.000 0.000 4.001
O 4.001 2.516 -1.467
O 2.534 0.000 1.485
O 5.468 0.000 1.485
O 1.485 2.534 0.000
O 2.516 -1.467 4.001
O 4.001 2.516 1.467
O 0.000 1.485 2.534
O 1.485 5.468 0.000
O 2.516 1.467 4.001
O -1.467 4.001 2.516
O 1.467 4.001 2.516
O 0.000 1.485 5.468


Record 11
19
Lattice="6.739 -2.961 0.000 6.739 2.961 0.000 -1.207 0.000 7.449" Properties=species:S:1:pos:R:3 comment="PBE Si2Ge5Rh12, optimized geometry" vol_a3_per_atom=15.649 dos_at_fermi_per_ev_atom=0.621 raw_formation_energy_mev_per_atom=-362.7 space_group="C2/m (12)" pbc="T T T"
Si 6.739 1.746 0.000
Si 6.739 -1.746 0.000
Ge 1.305 0.000 6.349
Ge 2.409 0.000 2.732
Ge 6.136 0.000 3.725
Ge 9.864 0.000 4.717
Ge 10.967 0.000 1.100
Rh -0.119 0.000 2.068
Rh 3.338 1.446 6.609
Rh 4.274 1.515 3.124
Rh 7.999 1.515 4.325
Rh 8.934 1.446 0.840
Rh 6.108 0.000 1.337
Rh 6.164 0.000 6.112
Rh 3.338 -1.446 6.609
Rh 4.274 -1.515 3.124
Rh 7.999 -1.515 4.325
Rh 8.934 -1.446 0.840
Rh 12.391 0.000 5.381


Record 12
4
Lattice="2.848 -3.822 0.000 2.848 3.822 0.000 0.000 0.000 2.845" Properties=species:S:1:pos:R:3 comment="PBE ScReIr2, optimized geometry" vol_a3_per_atom=15.481 dos_at_fermi_per_ev_atom=0.772 formation_energy_ev_per_atom=-0.4289 space_group="Cmmm (65)" pbc="T T T"
Sc 0.000 0.000 0.000
Re 2.848 0.000 0.000
Ir 1.424 1.911 1.422
Ir 1.424 -1.911 1.422